# Na2SnGe2, relaxed, DFT PBE
# Uncorrected energy ... -3.12 eV/atom
# Magnetization ... 0.0 μB/f.u.
# E_form ... 0.05 eV per atom
# Excess energy over the best structure of this formula in the dataset ... 0.131 eV per atom
data_Na2SnGe2
_chemical_formula_sum 'Na4 Sn2 Ge4'
_cell_length_a 4.420
_cell_length_b 4.420
_cell_length_c 12.784
_cell_angle_alpha 90.00
_cell_angle_beta 90.00
_cell_angle_gamma 90.00
_symmetry_space_group_name_H-M 'I 4/m m m'
_symmetry_Int_Tables_number 139
_symmetry_space_group_name_Hall '-I 4 2'
loop_
_atom_site_label
_atom_site_fract_x
_atom_site_fract_y
_atom_site_fract_z
Na1 0.000 0.500 0.250
Sn1 0.000 0.000 0.000
Ge1 0.000 0.000 0.408